The following is a PBE calculation of TlRe3Te5 after structural relaxation, from OQMD.

abc: 5.9449 5.9449 8.0310
angles: 90.00 90.00 120.00
Fractional coordinates of all 9 atoms:
Tl (0.0000, 0.0000, 0.0000)
Re (0.0000, 0.5000, 0.5000)
Re (0.5000, 0.0000, 0.5000)
Re (0.5000, 0.5000, 0.5000)
Te (0.0000, 0.0000, 0.5000)
Te (0.3333, 0.6667, 0.2388)
Te (0.3333, 0.6667, 0.7612)
Te (0.6667, 0.3333, 0.2388)
Te (0.6667, 0.3333, 0.7612)

Properties
mass density: 9.464 Mg/m³
energy: -5.770 eV per atom
M_tot: 0.334 μB/atom